First-principles (PBE) data for MnHgAu2Cl after structural relaxation, as listed in the Alexandria database.

Lattice parameters (Å, degrees): 5.213 5.213 5.343 90.00 90.00 90.00
Space group P4/mmm (No. 123)
Symmetry-distinct sites (fractional):
Mn1 0.000 0.000 0.000 [1 per cell]
Hg1 0.000 0.000 0.500 [1 per cell]
Au1 0.000 0.500 0.500 [2 per cell]
Cl1 0.500 0.500 0.000 [1 per cell]

Summary:
- DOS(E_F) (states/eV/cell) = 2.72
- formation energy (no corrections) (meV per atom) = 717